A relaxed structure of Zr2TlPb. Source: the Alexandria database, functional PBE-GGA.

Results
ΔE_f, meV per atom: -25
Total moment, μB per cell: 0.000
D(E_F), states/eV per atom: 0.7425
Space group: No. 10

a = 5.111 Å, b = 3.285 Å, c = 5.863 Å
α = 86.83°, β = 90.00°, γ = 90.00°
Fractional coordinates of all 4 atoms:
Pb1 0.500 0.250 0.250
Tl1 0.500 0.750 0.750
Zr1 0.000 0.006 0.000
Zr2 0.000 0.494 0.500